# 1
Here is a relaxed TiCrBi2O6 crystal from the Alexandria database. Energies are from GGA+U.

Properties
mass density: 8.0 g cm⁻³
E: -71.2 eV/f.u.

Lattice parameters (Å, degrees): 5.539 5.949 9.488 90.00 125.17 90.00
Atoms (fractional coordinates):
Ti 0.000 0.000 0.000
Ti 0.000 0.500 0.500
Cr 0.500 0.000 0.500
Cr 0.500 0.500 0.000
Bi 0.259 0.056 0.750
Bi 0.259 0.444 0.250
Bi 0.741 0.556 0.750
Bi 0.741 0.944 0.250
O 0.140 0.036 0.247
O 0.140 0.464 0.747
O 0.221 0.708 0.053
O 0.221 0.792 0.553
O 0.348 0.169 0.049
O 0.348 0.331 0.549
O 0.652 0.669 0.451
O 0.652 0.831 0.951
O 0.779 0.208 0.447
O 0.779 0.292 0.947
O 0.860 0.536 0.253
O 0.860 0.964 0.753



# 2
Here is a relaxed TlCrBiO4 crystal from the Alexandria database. Energies are from GGA+U.

Properties
mass density: 6.4 g cm⁻³
E: -41.9 eV/f.u.

Lattice parameters (Å, degrees): 5.941 5.892 8.375 90.00 109.88 90.00
Atoms (fractional coordinates):
Tl 0.011 0.250 0.140
Tl 0.989 0.750 0.860
Cr 0.391 0.250 0.689
Cr 0.609 0.750 0.311
Bi 0.216 0.750 0.481
Bi 0.784 0.250 0.519
O 0.205 0.501 0.681
O 0.205 0.999 0.681
O 0.309 0.750 0.190
O 0.391 0.250 0.466
O 0.609 0.750 0.534
O 0.691 0.250 0.810
O 0.795 0.001 0.319
O 0.795 0.499 0.319